Here is an optimized crystal structure of AcTmFe2O6 from Alexandria. Energies are from PBE+U.

Calculated values
E_tot in eV per cell: -74.47

Cell: 5.6657 5.6657 5.6657 Å, 59.12 59.12 59.12°
Closest atoms and distances in Å follow each position.
Fractional coordinates of all 10 atoms:
1 Ac 0.0000 0.0000 0.0000  6 O 2.46-2.74
2 Tm 0.4752 0.4752 0.4752  6 O 2.26-2.32
3 Fe 0.2535 0.2535 0.2535  6 O 2.01-2.10
4 Fe 0.7584 0.7584 0.7584  6 O 2.00-2.11
5 O 0.0365 0.5736 0.4494  2 Fe 2.00-2.10
6 O 0.1205 0.5152 0.9046  2 Fe 2.01-2.11
7 O 0.4494 0.0365 0.5736  2 Fe 2.00-2.10
8 O 0.5152 0.9046 0.1205  2 Fe 2.01-2.11
9 O 0.5736 0.4494 0.0365  2 Fe 2.00-2.10
10 O 0.9046 0.1205 0.5152  2 Fe 2.01-2.11